# 1
# CoAsOs2

A PBEsol-optimized structure of CoAsOs2 (SCAN, the Alexandria database).

Computed properties:
The energy of formation comes out at 346 meV/atom.

a b c (Å): 8.673 2.783 4.512
angles (deg): 90.00 96.18 90.00
Space group C2/m (No. 12)
Symmetry-distinct sites (fractional):
Co (0.000, 0.000, 0.000)
As (0.000, 0.500, 0.500)
Os (0.227, 0.500, 0.230)

# 2
# NaTlIn2Re

A PBEsol-optimized structure of NaTlIn2Re (SCAN, the Alexandria database).

Computed properties:
The energy of formation comes out at 1664 meV/atom.

a b c (Å): 5.134 5.134 5.133
angles (deg): 90.00 90.00 90.00
Space group P4/mmm (No. 123)
Symmetry-distinct sites (fractional):
Na (0.000, 0.000, 0.000)
Tl (0.000, 0.000, 0.500)
In (0.000, 0.500, 0.000)
Re (0.500, 0.500, 0.500)

# 3
# TeSe

A PBEsol-optimized structure of TeSe (SCAN, the Alexandria database).

Computed properties:
For the formation energy (no corrections), the calculation gives 0.115 eV per atom.

a b c (Å): 10.689 3.798 8.787
angles (deg): 90.00 107.44 90.00
Space group Cm (No. 8)
Symmetry-distinct sites (fractional):
Te (0.000, 0.000, 0.000)
Te (0.031, 0.000, 0.415)
Te (0.375, 0.000, 0.736)
Se (0.171, 0.500, 0.649)
Se (0.195, 0.500, 0.096)
Se (0.340, 0.000, 0.312)

# 4
# Zn2CdPt

A PBEsol-optimized structure of Zn2CdPt (SCAN, the Alexandria database).

Computed properties:
The energy of formation comes out at -300 meV/atom.

a b c (Å): 3.940 3.940 7.857
angles (deg): 90.00 90.00 90.00
Space group I4/mmm (No. 139)
Symmetry-distinct sites (fractional):
Zn (0.000, 0.500, 0.250)
Cd (0.000, 0.000, 0.000)
Pt (0.000, 0.000, 0.500)

# 5
# Zn2OsRu

A PBEsol-optimized structure of Zn2OsRu (SCAN, the Alexandria database).

Computed properties:
The energy of formation comes out at 131 meV/atom. The energy above the most stable polymorph in this dataset is 0 meV/atom.

a b c (Å): 8.714 2.744 4.587
angles (deg): 90.00 98.43 90.00
Space group Cm (No. 8)
Symmetry-distinct sites (fractional):
Zn (0.000, 0.000, 0.000)
Zn (0.245, 0.000, 0.785)
Os (0.252, 0.500, 0.290)
Ru (0.493, 0.000, 0.495)

# 6
# ScAu2Cl

A PBEsol-optimized structure of ScAu2Cl (SCAN, the Alexandria database).

Computed properties:
The energy above the most stable polymorph in this dataset is 0 meV/atom. For the formation energy (no corrections), the calculation gives -0.992 eV per atom.

a b c (Å): 3.590 3.283 7.422
angles (deg): 90.00 102.03 90.00
Space group Pm (No. 6)
Symmetry-distinct sites (fractional):
Sc (0.000, 0.000, 0.000)
Au (0.166, 0.000, 0.387)
Au (0.581, 0.500, 0.188)
Cl (0.887, 0.500, 0.743)

# 7
# CrCoAs2Br

A PBEsol-optimized structure of CrCoAs2Br (SCAN, the Alexandria database).

Computed properties:
For the formation energy (no corrections), the calculation gives 0.455 eV per atom.

a b c (Å): 4.407 4.407 5.207
angles (deg): 90.00 90.00 90.00
Space group P4/mmm (No. 123)
Symmetry-distinct sites (fractional):
Cr (0.000, 0.000, 0.000)
Co (0.500, 0.500, 0.500)
As (0.000, 0.500, 0.500)
Br (0.500, 0.500, 0.000)

# 8
# DyBeCu4

A PBEsol-optimized structure of DyBeCu4 (SCAN, the Alexandria database).

Computed properties:
The energy of formation comes out at -211 meV/atom.

a b c (Å): 4.9881 4.9881 3.7963
angles (deg): 90.00 90.00 120.00
Space group P-6m2 (No. 187)
Symmetry-distinct sites (fractional):
Dy (0.0000, 0.0000, 0.0000)
Be (0.6667, 0.3333, 0.0000)
Cu (0.3333, 0.6667, 0.0000)
Cu (0.5042, 0.0084, 0.5000)

# 9
# BePRu2

A PBEsol-optimized structure of BePRu2 (SCAN, the Alexandria database).

Computed properties:
The energy of formation comes out at -473 meV/atom. The energy above the most stable polymorph in this dataset is 73 meV/atom.

a b c (Å): 3.980 3.980 2.821
angles (deg): 90.00 90.00 90.00
Space group P4/mmm (No. 123)
Symmetry-distinct sites (fractional):
Be (0.000, 0.000, 0.000)
P (0.500, 0.500, 0.000)
Ru (0.000, 0.500, 0.500)

# 10
# Ga3PbBr

A PBEsol-optimized structure of Ga3PbBr (SCAN, the Alexandria database).

Computed properties:
For the formation energy (no corrections), the calculation gives 0.555 eV per atom.

a b c (Å): 5.314 5.314 5.314
angles (deg): 90.00 90.00 90.00
Space group Pm-3m (No. 221)
Symmetry-distinct sites (fractional):
Ga (0.000, 0.000, 0.500)
Pb (0.500, 0.500, 0.500)
Br (0.000, 0.000, 0.000)

# 11
# Ca2TlSb

A PBEsol-optimized structure of Ca2TlSb (SCAN, the Alexandria database).

Computed properties:
The energy above the most stable polymorph in this dataset is 5 meV/atom. For the formation energy (no corrections), the calculation gives -0.776 eV per atom.

a b c (Å): 3.720 4.162 7.201
angles (deg): 90.00 90.00 90.00
Space group Pmmm (No. 47)
Symmetry-distinct sites (fractional):
Ca (0.000, 0.000, 0.241)
Tl (0.500, 0.500, 0.500)
Sb (0.500, 0.500, 0.000)

# 12
# Ba2CdP3O11

A PBEsol-optimized structure of Ba2CdP3O11 (SCAN, the Alexandria database).

Computed properties:
For the formation energy (no corrections), the calculation gives -2.635 eV per atom.

a b c (Å): 13.845 5.580 7.234
angles (deg): 90.00 121.45 90.00
Space group Cm (No. 8)
Symmetry-distinct sites (fractional):
Ba (0.000, 0.000, 0.000)
Ba (0.100, 0.500, 0.599)
Cd (0.300, 0.000, 0.538)
P (0.178, 0.500, 0.211)
P (0.300, 0.000, 0.954)
P (0.422, 0.500, 0.457)
O (0.012, 0.000, 0.396)
O (0.089, 0.500, 0.972)
O (0.170, 0.276, 0.327)
O (0.192, 0.000, 0.966)
O (0.300, 0.222, 0.822)
O (0.300, 0.500, 0.233)
O (0.408, 0.000, 0.180)
O (0.430, 0.276, 0.587)

Record order is preserved below.
V: 108.3 135.3 340.3 122.0 108.5 85.5 101.1 81.8 44.7 150.0 111.5 476.8 Å³/cell